A plane-wave DFT calculation with PBE was carried out for an optimized crystal structure of KPaTlCl6.

Calculated values
For the formation energy without anion corrections, the calculation gives -1.766 eV per atom.

The structure in CIF format:
```
data_KPaTlCl6
_chemical_formula_sum 'K2 Pa2 Tl2 Cl12'
_cell_length_a 7.7688
_cell_length_b 7.7688
_cell_length_c 12.8260
_cell_angle_alpha 90.00
_cell_angle_beta 90.00
_cell_angle_gamma 120.00
_space_group_name_H-M_alt 'P -3 1 c'
_space_group_IT_number 163
_space_group_name_Hall '-P 3 2c'
loop_
_atom_site_label
_atom_site_type_symbol
_atom_site_fract_x
_atom_site_fract_y
_atom_site_fract_z
K1 K 0.3333 0.6667 0.2500
Pa1 Pa 0.3333 0.6667 0.7500
Tl1 Tl 0.0000 0.0000 0.0000
Cl1 Cl 0.0500 0.3858 0.6323
```